(1)
! BeAs2Ru | Alexandria | GGA-PBEsol | optimized geometry; values from VASP
! total magnetization = 0.0 Bohr magnetons per cell
! ΔE_f = 295 meV/atom
! energy = -5.801 eV/atom
&SYSTEM
  ibrav = 0, nat = 8, ntyp = 3
/
ATOMIC_SPECIES
Be 9.01 Be.upf
As 74.92 As.upf
Ru 101.07 Ru.upf
CELL_PARAMETERS angstrom
3.744 0.000 0.000
0.000 3.744 0.000
0.000 0.000 7.912
ATOMIC_POSITIONS crystal
Be 0.000 0.000 0.000
Be 0.500 0.500 0.500
As 0.000 0.000 0.500
As 0.000 0.500 0.750
As 0.500 0.000 0.250
As 0.500 0.500 0.000
Ru 0.000 0.500 0.250
Ru 0.500 0.000 0.750


(2)
! MgIrSe2N | Alexandria | GGA-PBEsol | optimized geometry; values from VASP
! energy above the lowest structure with this stoichiometry = 1.245 eV/atom
! total magnetization = 2.2 Bohr magnetons per cell
! energy = -4.286 eV/atom
! raw formation energy = 1267 meV per atom
&SYSTEM
  ibrav = 0, nat = 5, ntyp = 4
/
ATOMIC_SPECIES
Mg 24.30 Mg.upf
Ir 192.22 Ir.upf
Se 78.96 Se.upf
N 14.01 N.upf
CELL_PARAMETERS angstrom
4.876 0.000 0.000
0.000 4.876 0.000
0.000 0.000 3.685
ATOMIC_POSITIONS crystal
Mg 0.000 0.000 0.000
Ir 0.500 0.500 0.500
Se 0.000 0.500 0.000
Se 0.500 0.000 0.000
N 0.000 0.000 0.500


(3)
! IrRu2Au | Alexandria | GGA-PBEsol | optimized geometry; values from VASP
! energy above the lowest structure with this stoichiometry = 0.011 eV/atom
! total magnetization = 0.0 Bohr magnetons per cell
! ΔE_f = 329 meV/atom
! energy = -8.194 eV/atom
&SYSTEM
  ibrav = 0, nat = 8, ntyp = 3
/
ATOMIC_SPECIES
Ir 192.22 Ir.upf
Ru 101.07 Ru.upf
Au 196.97 Au.upf
CELL_PARAMETERS angstrom
5.424 0.000 0.000
0.000 7.709 0.000
0.000 0.000 2.732
ATOMIC_POSITIONS crystal
Ir 0.000 0.000 0.000
Ir 0.500 0.500 0.000
Ru 0.250 0.250 0.500
Ru 0.250 0.750 0.500
Ru 0.750 0.250 0.500
Ru 0.750 0.750 0.500
Au 0.000 0.500 0.000
Au 0.500 0.000 0.000


(4)
! TiTl3P | Alexandria | GGA-PBEsol | optimized geometry; values from VASP
! total magnetization = 0.0 Bohr magnetons per cell
! ΔE_f = 927 meV/atom
! energy = -3.474 eV/atom
&SYSTEM
  ibrav = 0, nat = 5, ntyp = 3
/
ATOMIC_SPECIES
Ti 47.87 Ti.upf
Tl 204.38 Tl.upf
P 30.97 P.upf
CELL_PARAMETERS angstrom
5.284 0.000 0.000
0.000 5.284 0.000
0.000 0.000 5.284
ATOMIC_POSITIONS crystal
Ti 0.000 0.000 0.000
Tl 0.000 0.000 0.500
Tl 0.000 0.500 0.000
Tl 0.500 0.000 0.000
P 0.500 0.500 0.500


(5)
! TlCd2 | Alexandria | GGA-PBEsol | optimized geometry; values from VASP
! total magnetization = 0.0 Bohr magnetons per cell
! ΔE_f = 109 meV/atom
! energy = -1.566 eV/atom
&SYSTEM
  ibrav = 0, nat = 6, ntyp = 2
/
ATOMIC_SPECIES
Tl 204.38 Tl.upf
Cd 112.41 Cd.upf
CELL_PARAMETERS angstrom
5.294 0.000 0.000
-2.647 4.584 0.000
0.000 0.000 5.977
ATOMIC_POSITIONS crystal
Tl 0.333 0.667 0.250
Tl 0.667 0.333 0.750
Cd 0.000 0.000 0.000
Cd 0.000 0.000 0.500
Cd 0.333 0.667 0.750
Cd 0.667 0.333 0.250


(6)
! Rb2NbCuSe4 | Alexandria | GGA-PBEsol | optimized geometry; values from VASP
! total magnetization = 0.0 Bohr magnetons per cell
! energy = -4.993 eV/atom
! raw formation energy = -917 meV per atom
&SYSTEM
  ibrav = 0, nat = 16, ntyp = 4
/
ATOMIC_SPECIES
Rb 85.47 Rb.upf
Nb 92.91 Nb.upf
Cu 63.55 Cu.upf
Se 78.96 Se.upf
CELL_PARAMETERS angstrom
0.000 6.887 12.183
2.854 0.000 12.183
2.854 6.887 0.000
ATOMIC_POSITIONS crystal
Rb 0.054 0.054 0.696
Rb 0.304 0.304 0.946
Rb 0.696 0.696 0.054
Rb 0.946 0.946 0.304
Nb 0.125 0.125 0.125
Nb 0.875 0.875 0.875
Cu 0.375 0.375 0.375
Cu 0.625 0.625 0.625
Se 0.033 0.330 0.418
Se 0.281 0.582 0.670
Se 0.330 0.033 0.719
Se 0.418 0.719 0.033
Se 0.582 0.281 0.967
Se 0.670 0.967 0.281
Se 0.719 0.418 0.330
Se 0.967 0.670 0.582


Q: total magnetization of number 6 (Rb2NbCuSe4)?
A: 0.0 Bohr magnetons per cell